Entry 1:
DFT (PBE-GGA) results for Li4Mg5Ni after structural relaxation.

Geometry as extended XYZ:
```
10
Lattice="3.1972 0.0000 0.0000 0.0000 3.1972 0.0000 0.0000 0.0000 18.4148" Properties=species:S:1:pos:R:3 pbc="T T T"
Li 0.0000 0.0000 1.9060
Li 0.0000 0.0000 5.8257
Li 0.0000 0.0000 12.5891
Li 0.0000 0.0000 16.5088
Mg 1.5986 1.5986 0.0000
Mg 1.5986 1.5986 3.8571
Mg 1.5986 1.5986 7.7668
Mg 1.5986 1.5986 10.6481
Mg 1.5986 1.5986 14.5577
Ni 0.0000 0.0000 9.2074
```

Density of states at the Fermi level (states/eV per cell): 4.4
Theoretical density (Mg/m³): 1.83
E_tot (Ry per atom): -0.1630
Total magnetic moment (μB per formula unit): 0.000

---

Entry 2:
DFT (PBE-GGA) results for LiMgNi after structural relaxation.

Geometry as extended XYZ:
```
6
Lattice="3.9869 -3.0703 0.0000 3.9869 3.0703 0.0000 -3.0562 0.0000 3.9237" Properties=species:S:1:pos:R:3 pbc="T T T"
Li 2.4588 2.0220 1.9618
Li 3.9869 -2.0220 0.0000
Mg 0.1686 1.0555 3.3303
Mg 1.6968 -1.0555 1.3685
Ni 2.5327 0.0061 3.6135
Ni 4.0608 -0.0061 1.6516
```

Density of states at the Fermi level (states/eV per cell): 4.1
Theoretical density (Mg/m³): 3.11
E_tot (Ry per atom): -0.2322
Total magnetic moment (μB per formula unit): 0.000
Energy relative to the lowest polymorph listed for this composition (eV/atom): 0.013

---

Entry 3:
DFT (PBE-GGA) results for LiMg14Ni after structural relaxation.

Geometry as extended XYZ:
```
16
Lattice="9.3065 0.0000 0.0000 0.0000 3.8584 4.8047 0.0000 -3.8584 4.8047" Properties=species:S:1:pos:R:3 pbc="T T T"
Li 0.0000 0.0000 0.0000
Mg 0.0000 -1.6549 7.1333
Mg 0.0000 1.6549 7.1333
Mg 2.0429 -1.5973 4.7737
Mg 2.0429 1.5973 4.7737
Mg 2.0778 0.0000 2.1847
Mg 2.5255 0.0000 7.4666
Mg 4.6532 0.0000 0.0857
Mg 4.6532 -1.6592 2.6395
Mg 4.6532 1.6592 2.6395
Mg 4.6532 0.0000 5.2049
Mg 6.7809 0.0000 7.4666
Mg 7.2286 0.0000 2.1847
Mg 7.2636 -1.5973 4.7737
Mg 7.2636 1.5973 4.7737
Ni 0.0000 0.0000 3.9744
```

Density of states at the Fermi level (states/eV per cell): 5.5
Theoretical density (Mg/m³): 1.95
E_tot (Ry per atom): -0.1376
Total magnetic moment (μB per formula unit): 0.000
Energy relative to the lowest polymorph listed for this composition (eV/atom): 0.006

---

Entry 4:
DFT (PBE-GGA) results for LiMgNi after structural relaxation.

Geometry as extended XYZ:
```
3
Lattice="4.2704 0.0000 0.0000 -2.1352 3.6983 0.0000 0.0000 0.0000 2.7324" Properties=species:S:1:pos:R:3 pbc="T T T"
Li 0.0000 0.0000 0.0000
Mg 2.1352 1.2328 1.0793
Ni 0.0000 2.4655 2.2313
```

Density of states at the Fermi level (states/eV per cell): 1.3
Theoretical density (Mg/m³): 3.46
E_tot (Ry per atom): -0.2296
Total magnetic moment (μB per formula unit): 0.000
Energy relative to the lowest polymorph listed for this composition (eV/atom): 0.049

---

Entry 5:
DFT (PBE-GGA) results for LiMgNi after structural relaxation.

Geometry as extended XYZ:
```
6
Lattice="-2.4162 2.5312 3.5351 2.4162 -2.5312 3.5351 2.4162 2.5312 -3.5351" Properties=species:S:1:pos:R:3 pbc="T T T"
Li -1.2081 1.2656 1.7676
Li 1.2081 1.2656 1.7676
Mg 2.4162 1.2656 -0.9231
Mg 0.0000 1.2656 4.4582
Ni 0.0000 0.0000 0.0000
Ni 0.0000 2.5312 0.0000
```

Density of states at the Fermi level (states/eV per cell): 2.9
Theoretical density (Mg/m³): 3.45
E_tot (Ry per atom): -0.2331
Total magnetic moment (μB per formula unit): 0.000
Energy relative to the lowest polymorph listed for this composition (eV/atom): 0.000

---

Entry 6:
DFT (PBE-GGA) results for Li2MgNi2 after structural relaxation.

Geometry as extended XYZ:
```
5
Lattice="-1.7401 1.7401 5.9505 1.7401 -1.7401 5.9505 1.7401 1.7401 -5.9505" Properties=species:S:1:pos:R:3 pbc="T T T"
Li 1.7401 0.0000 2.9753
Li 0.0000 1.7401 2.9753
Mg 0.0000 0.0000 0.0000
Ni 0.0000 0.0000 4.7898
Ni 0.0000 0.0000 7.1112
```

Density of states at the Fermi level (states/eV per cell): 2.3
Theoretical density (Mg/m³): 3.58
E_tot (Ry per atom): -0.2367
Total magnetic moment (μB per formula unit): 0.000
Energy relative to the lowest polymorph listed for this composition (eV/atom): 0.106

---

Entry 7:
DFT (PBE-GGA) results for LiMgNi after structural relaxation.

Geometry as extended XYZ:
```
3
Lattice="-1.4335 1.7871 4.2501 1.4335 -1.7871 4.2501 1.4335 1.7871 -4.2501" Properties=species:S:1:pos:R:3 pbc="T T T"
Li 0.0000 0.0000 0.0000
Mg 0.0000 0.0000 2.6253
Ni 0.0000 0.0000 5.5010
```

Density of states at the Fermi level (states/eV per cell): 0.9
Theoretical density (Mg/m³): 3.43
E_tot (Ry per atom): -0.2297
Total magnetic moment (μB per formula unit): 0.000
Energy relative to the lowest polymorph listed for this composition (eV/atom): 0.047

---

Entry 8:
DFT (PBE-GGA) results for Li2Mg6Ni after structural relaxation.

Geometry as extended XYZ:
```
9
Lattice="4.7367 0.0000 0.0000 -2.3683 4.1021 0.0000 0.0000 0.0000 8.8310" Properties=species:S:1:pos:R:3 pbc="T T T"
Li 0.0000 2.7347 2.4991
Li 2.3683 1.3674 6.3319
Mg 0.0000 0.0000 1.7575
Mg 0.0000 0.0000 7.0735
Mg 0.0000 2.7347 5.2053
Mg 0.0000 2.7347 8.3595
Mg 2.3683 1.3674 0.4715
Mg 2.3683 1.3674 3.6256
Ni 0.0000 0.0000 4.4155
```

Density of states at the Fermi level (states/eV per cell): 3.0
Theoretical density (Mg/m³): 2.11
E_tot (Ry per atom): -0.1605
Total magnetic moment (μB per formula unit): 0.000
Energy relative to the lowest polymorph listed for this composition (eV/atom): 0.000

---

Entry 9:
DFT (PBE-GGA) results for LiMg2Ni after structural relaxation.

Geometry as extended XYZ:
```
4
Lattice="0.0000 3.1720 3.1720 3.1720 0.0000 3.1720 3.1720 3.1720 0.0000" Properties=species:S:1:pos:R:3 pbc="T T T"
Li 0.0000 0.0000 0.0000
Mg 1.5860 1.5860 1.5860
Mg 4.7581 4.7581 4.7581
Ni 3.1720 3.1720 3.1720
```

Density of states at the Fermi level (states/eV per cell): 2.0
Theoretical density (Mg/m³): 2.97
E_tot (Ry per atom): -0.2091
Total magnetic moment (μB per formula unit): 0.000

---

Entry 10:
DFT (PBE-GGA) results for LiMgNi2 after structural relaxation.

Geometry as extended XYZ:
```
4
Lattice="2.6403 -3.6470 0.0000 2.6403 3.6470 0.0000 0.0000 0.0000 2.6983" Properties=species:S:1:pos:R:3 pbc="T T T"
Li 0.0000 0.0000 0.0000
Mg 2.6403 0.0000 0.0000
Ni 1.3201 1.8235 1.3491
Ni 1.3201 -1.8235 1.3491
```

Density of states at the Fermi level (states/eV per cell): 2.7
Theoretical density (Mg/m³): 4.75
E_tot (Ry per atom): -0.2768
Total magnetic moment (μB per formula unit): 0.000

---

Entry 11:
DFT (PBE-GGA) results for Li2Mg2Ni after structural relaxation.

Geometry as extended XYZ:
```
5
Lattice="-1.5326 1.5326 9.3554 1.5326 -1.5326 9.3554 1.5326 1.5326 -9.3554" Properties=species:S:1:pos:R:3 pbc="T T T"
Li 0.0000 0.0000 3.6703
Li 0.0000 0.0000 15.0405
Mg 0.0000 0.0000 7.8210
Mg 0.0000 0.0000 10.8898
Ni 0.0000 0.0000 0.0000
```

Density of states at the Fermi level (states/eV per cell): 3.1
Theoretical density (Mg/m³): 2.29
E_tot (Ry per atom): -0.1942
Total magnetic moment (μB per formula unit): 0.004
Energy relative to the lowest polymorph listed for this composition (eV/atom): 0.000

---

Entry 12:
DFT (PBE-GGA) results for LiMg5Ni4 after structural relaxation.

Geometry as extended XYZ:
```
10
Lattice="3.0738 0.0000 0.0000 0.0000 3.0738 0.0000 0.0000 0.0000 16.1476" Properties=species:S:1:pos:R:3 pbc="T T T"
Li 0.0000 0.0000 0.0000
Mg 1.5369 1.5369 2.0619
Mg 1.5369 1.5369 5.0740
Mg 1.5369 1.5369 8.0738
Mg 1.5369 1.5369 11.0737
Mg 1.5369 1.5369 14.0857
Ni 0.0000 0.0000 3.5718
Ni 0.0000 0.0000 6.5761
Ni 0.0000 0.0000 9.5716
Ni 0.0000 0.0000 12.5759
```

Density of states at the Fermi level (states/eV per cell): 6.3
Theoretical density (Mg/m³): 3.95
E_tot (Ry per atom): -0.2523
Total magnetic moment (μB per formula unit): 0.000

---

Entry 13:
DFT (PBE-GGA) results for LiMg6Ni after structural relaxation.

Geometry as extended XYZ:
```
8
Lattice="4.5555 0.0000 0.0000 0.0000 3.7144 4.6039 0.0000 -3.7144 4.6039" Properties=species:S:1:pos:R:3 pbc="T T T"
Li 0.0000 0.0000 0.0000
Mg 0.0000 -1.8568 2.3035
Mg 0.0000 1.8568 2.3035
Mg 2.2777 0.0000 2.2045
Mg 2.2777 -1.6138 4.6047
Mg 2.2777 1.6138 4.6047
Mg 2.2777 0.0000 7.0036
Ni 0.0000 0.0000 4.6090
```

Density of states at the Fermi level (states/eV per cell): 3.8
Theoretical density (Mg/m³): 2.25
E_tot (Ry per atom): -0.1586
Total magnetic moment (μB per formula unit): 0.000
Energy relative to the lowest polymorph listed for this composition (eV/atom): 0.066

---

Entry 14:
DFT (PBE-GGA) results for LiMgNi after structural relaxation.

Geometry as extended XYZ:
```
3
Lattice="0.0000 2.9899 2.9899 2.9899 0.0000 2.9899 2.9899 2.9899 0.0000" Properties=species:S:1:pos:R:3 pbc="T T T"
Li 0.0000 0.0000 0.0000
Mg 2.9899 2.9899 2.9899
Ni 4.4848 4.4848 4.4848
```

Density of states at the Fermi level (states/eV per cell): 2.1
Theoretical density (Mg/m³): 2.79
E_tot (Ry per atom): -0.2117
Total magnetic moment (μB per formula unit): 0.000
Energy relative to the lowest polymorph listed for this composition (eV/atom): 0.291

---

Entry 15:
DFT (PBE-GGA) results for Li14MgNi after structural relaxation.

Geometry as extended XYZ:
```
16
Lattice="9.5384 0.0000 0.0000 0.0000 2.8462 5.3994 0.0000 -2.8462 5.3994" Properties=species:S:1:pos:R:3 pbc="T T T"
Li 0.0000 0.0000 0.0000
Li 0.0000 0.0000 5.2285
Li 0.0000 -1.4348 8.0186
Li 0.0000 1.4348 8.0186
Li 2.3003 0.0000 9.1302
Li 2.4913 -1.4594 6.3917
Li 2.4913 1.4594 6.3917
Li 2.7196 0.0000 3.4845
Li 4.7692 -1.4724 4.8467
Li 4.7692 1.4724 4.8467
Li 6.8189 0.0000 3.4845
Li 7.0471 -1.4594 6.3917
Li 7.0471 1.4594 6.3917
Li 7.2381 0.0000 9.1302
Mg 4.7692 0.0000 7.5257
Ni 4.7692 0.0000 1.8416
```

Density of states at the Fermi level (states/eV per cell): 7.7
Theoretical density (Mg/m³): 1.02
E_tot (Ry per atom): -0.1551
Total magnetic moment (μB per formula unit): 0.000

---

Entry 16:
DFT (PBE-GGA) results for LiMg2Ni after structural relaxation.

Geometry as extended XYZ:
```
4
Lattice="-1.5608 2.2449 4.6851 1.5608 -2.2449 4.6851 1.5608 2.2449 -4.6851" Properties=species:S:1:pos:R:3 pbc="T T T"
Li 0.0000 0.0000 0.0000
Mg 1.5608 0.0000 2.6264
Mg 0.0000 0.0000 5.2504
Ni 0.0000 2.2449 2.6683
```

Density of states at the Fermi level (states/eV per cell): 1.6
Theoretical density (Mg/m³): 2.89
E_tot (Ry per atom): -0.2044
Total magnetic moment (μB per formula unit): 0.000

---

Entry 17:
DFT (PBE-GGA) results for LiMg2Ni after structural relaxation.

Geometry as extended XYZ:
```
4
Lattice="3.0907 0.0000 0.0000 0.0000 3.0907 0.0000 0.0000 0.0000 6.9569" Properties=species:S:1:pos:R:3 pbc="T T T"
Li 0.0000 0.0000 0.0000
Mg 0.0000 0.0000 4.1972
Mg 1.5454 1.5454 1.8488
Ni 1.5454 1.5454 5.6922
```

Density of states at the Fermi level (states/eV per cell): 2.1
Theoretical density (Mg/m³): 2.85
E_tot (Ry per atom): -0.2010
Total magnetic moment (μB per formula unit): 0.000

---

Entry 18:
DFT (PBE-GGA) results for Li5Mg4Ni2 after structural relaxation.

Geometry as extended XYZ:
```
11
Lattice="7.3497 0.0000 0.0000 0.0000 2.9396 0.0000 -0.3927 0.0000 9.2230" Properties=species:S:1:pos:R:3 pbc="T T T"
Li 0.0000 0.0000 0.0000
Li 0.3546 0.0000 2.9646
Li 1.9563 0.0000 7.7181
Li 5.0007 0.0000 1.5049
Li 6.6024 0.0000 6.2584
Mg 1.8466 1.4698 5.1309
Mg 2.4306 1.4698 1.2524
Mg 4.5264 1.4698 7.9706
Mg 5.1104 1.4698 4.0921
Ni 3.0595 0.0000 3.3285
Ni 3.8975 0.0000 5.8944
```

Density of states at the Fermi level (states/eV per cell): 4.5
Theoretical density (Mg/m³): 2.08
E_tot (Ry per atom): -0.1871
Total magnetic moment (μB per formula unit): 0.000

---

Entry 19:
DFT (PBE-GGA) results for LiMg6Ni after structural relaxation.

Geometry as extended XYZ:
```
8
Lattice="4.5428 0.0000 0.0000 0.0000 3.6141 4.7203 0.0000 -3.6141 4.7203" Properties=species:S:1:pos:R:3 pbc="T T T"
Li 0.0000 0.0000 0.0000
Mg 0.0000 0.0000 4.4966
Mg 0.0000 -1.5203 6.9571
Mg 0.0000 1.5203 6.9571
Mg 2.2714 -1.9574 4.4783
Mg 2.2714 0.0000 2.2106
Mg 2.2714 1.9574 4.4783
Ni 2.2714 0.0000 6.6671
```

Density of states at the Fermi level (states/eV per cell): 3.6
Theoretical density (Mg/m³): 2.27
E_tot (Ry per atom): -0.1597
Total magnetic moment (μB per formula unit): 0.000
Energy relative to the lowest polymorph listed for this composition (eV/atom): 0.052

---

Entry 20:
DFT (PBE-GGA) results for Li2MgNi2 after structural relaxation.

Geometry as extended XYZ:
```
10
Lattice="6.8955 0.0000 0.0000 0.0000 6.8955 0.0000 0.0000 0.0000 2.8494" Properties=species:S:1:pos:R:3 pbc="T T T"
Li 1.1675 2.2802 0.0000
Li 2.2802 5.7280 0.0000
Li 4.6153 1.1675 0.0000
Li 5.7280 4.6153 0.0000
Mg 0.0000 0.0000 1.4247
Mg 3.4478 3.4478 1.4247
Ni 0.8546 4.3023 1.4247
Ni 2.5932 0.8546 1.4247
Ni 4.3023 6.0410 1.4247
Ni 6.0410 2.5932 1.4247
```

Density of states at the Fermi level (states/eV per cell): 5.9
Theoretical density (Mg/m³): 3.81
E_tot (Ry per atom): -0.2438
Total magnetic moment (μB per formula unit): 0.000
Energy relative to the lowest polymorph listed for this composition (eV/atom): 0.009